Entry from the Alexandria database: Mo2PO2 after structural relaxation (GGA+U).

Unit cell a=3.481 b=3.481 c=6.008 alpha=73.16 beta=73.16 gamma=90.00
Last column: magnetic moment on the atom in μB.
Sites, in units of the cell vectors:
P 0.000 0.000 0.000  -0.05
Mo 0.361 0.361 0.278  1.75
Mo 0.639 0.639 0.722  1.75
O 0.750 0.250 0.500  -0.06
O 0.250 0.750 0.500  -0.06

Calculated values
Calculated total energy (eV per atom): -6.3732
SG: I4/mmm, No. 139